Entry 1:
The following is a GGA-PBE calculation of a relaxed structure of HoEr4Mg7, from Alexandria via LeMat-Bulk.

Output
energy above the most stable polymorph in this dataset: 182.6 meV per atom
crystal system: monoclinic
formation energy: 168 meV per atom
M_tot: 0.00 μB/cell
volume: 27.74 A^3/atom

a = 5.6114 Å, b = 10.7538 Å, c = 6.3766 Å
α = 86.75°, β = 63.90°, γ = 74.88°
Closest atoms and distances in Å follow each position.
Atoms (fractional coordinates):
Ho1 0.0000 0.0000 0.0000  4 Mg 2.81-3.13
Er1 0.6152 0.2217 0.5479  7 Mg 3.10-3.41
Er2 0.3848 0.7783 0.4521  7 Mg 3.10-3.41
Er3 0.7508 0.6794 0.8191  7 Mg 3.15-3.52
Er4 0.2492 0.3206 0.1809  7 Mg 3.15-3.52
Mg1 0.7793 0.9229 0.5185  2 Mg 2.82-3.06, 2 Er 3.10-3.15, 1 Ho 3.13
Mg2 0.2207 0.0771 0.4815  2 Mg 2.82-3.06, 2 Er 3.10-3.15, 1 Ho 3.13
Mg3 0.0661 0.6772 0.1906  2 Mg 2.95-3.06
Mg4 0.9339 0.3228 0.8094  2 Mg 2.95-3.06
Mg5 0.3677 0.5071 0.7575  2 Mg 2.94-2.95, 2 Er 3.12-3.20
Mg6 0.5000 0.0000 0.0000  2 Ho 2.81, 2 Mg 2.82
Mg7 0.6323 0.4929 0.2425  2 Mg 2.94-2.95, 2 Er 3.12-3.20

Entry 2:
The following is a GGA-PBE calculation of a relaxed structure of HoErMg14, from Alexandria via LeMat-Bulk.

Output
crystal system: tetragonal
formation energy: -22 meV per atom
M_tot: 0.00 μB/cell
volume: 23.83 A^3/atom

a = 6.9175 Å, b = 6.9175 Å, c = 7.9690 Å
α = 90.00°, β = 90.00°, γ = 90.00°
Closest atoms and distances in Å follow each position.
Atoms (fractional coordinates):
Ho1 0.3750 0.3750 0.5000  12 Mg 3.21-3.46
Er1 0.8750 0.8750 0.5000  12 Mg 3.21-3.46
Mg1 0.8750 0.8750 0.0000  12 Mg 3.10-3.46
Mg2 0.3750 0.3750 0.0000  12 Mg 3.10-3.46
Mg3 0.8750 0.3750 0.5000  8 Mg 3.21, 2 Ho 3.46, 2 Er 3.46
Mg4 0.8750 0.3750 0.0000  12 Mg 3.10-3.46
Mg5 0.3750 0.8750 0.5000  8 Mg 3.21, 2 Ho 3.46, 2 Er 3.46
Mg6 0.3750 0.8750 0.0000  12 Mg 3.10-3.46
Mg7 0.6253 0.1247 0.2396  10 Mg 3.10-3.46, 1 Er 3.21, 1 Ho 3.21
Mg8 0.6253 0.1247 0.7604  10 Mg 3.10-3.46, 1 Er 3.21, 1 Ho 3.21
Mg9 0.1247 0.6253 0.2396  10 Mg 3.10-3.46, 1 Er 3.21, 1 Ho 3.21
Mg10 0.1247 0.6253 0.7604  10 Mg 3.10-3.46, 1 Er 3.21, 1 Ho 3.21
Mg11 0.6253 0.6253 0.2396  10 Mg 3.10-3.46, 1 Er 3.21, 1 Ho 3.21
Mg12 0.6253 0.6253 0.7604  10 Mg 3.10-3.46, 1 Er 3.21, 1 Ho 3.21
Mg13 0.1247 0.1247 0.2396  10 Mg 3.10-3.46, 1 Er 3.21, 1 Ho 3.21
Mg14 0.1247 0.1247 0.7604  10 Mg 3.10-3.46, 1 Er 3.21, 1 Ho 3.21

Entry 3:
The following is a GGA-PBE calculation of a relaxed structure of Ho6Er12Mg, from Alexandria via LeMat-Bulk.

Output
energy above the most stable polymorph in this dataset: 0.0 meV per atom
crystal system: trigonal
formation energy: 141 meV per atom
M_tot: 0.00 μB/cell
volume: 31.08 A^3/atom

a = 8.3920 Å, b = 8.3920 Å, c = 8.3920 Å
α = 88.58°, β = 88.58°, γ = 88.58°
Closest atoms and distances in Å follow each position.
Atoms (fractional coordinates):
Ho1 0.7389 0.9040 0.2962  7 Er 3.26-3.63, 1 Mg 3.37, 2 Ho 3.41
Ho2 0.7038 0.2611 0.0960  7 Er 3.26-3.63, 1 Mg 3.37, 2 Ho 3.41
Ho3 0.0960 0.7038 0.2611  7 Er 3.26-3.63, 1 Mg 3.37, 2 Ho 3.41
Ho4 0.2611 0.0960 0.7038  7 Er 3.26-3.63, 1 Mg 3.37, 2 Ho 3.41
Ho5 0.2962 0.7389 0.9040  7 Er 3.26-3.63, 1 Mg 3.37, 2 Ho 3.41
Ho6 0.9040 0.2962 0.7389  7 Er 3.26-3.63, 1 Mg 3.37, 2 Ho 3.41
Er1 0.7791 0.5391 0.4352  6 Er 3.26-3.58, 3 Ho 3.26-3.39
Er2 0.4352 0.7791 0.5391  6 Er 3.26-3.58, 3 Ho 3.26-3.39
Er3 0.5391 0.4352 0.7791  6 Er 3.26-3.58, 3 Ho 3.26-3.39
Er4 0.2209 0.4609 0.5648  6 Er 3.26-3.58, 3 Ho 3.26-3.39
Er5 0.5648 0.2209 0.4609  6 Er 3.26-3.58, 3 Ho 3.26-3.39
Er6 0.4609 0.5648 0.2209  6 Er 3.26-3.58, 3 Ho 3.26-3.39
Er7 0.0128 0.1860 0.3635  4 Ho 3.40-3.63, 4 Er 3.43-3.57, 1 Mg 3.47
Er8 0.8140 0.6365 0.9872  4 Ho 3.40-3.63, 4 Er 3.43-3.57, 1 Mg 3.47
Er9 0.6365 0.9872 0.8140  4 Ho 3.40-3.63, 4 Er 3.43-3.57, 1 Mg 3.47
Er10 0.9872 0.8140 0.6365  4 Ho 3.40-3.63, 4 Er 3.43-3.57, 1 Mg 3.47
Er11 0.1860 0.3635 0.0128  4 Ho 3.40-3.63, 4 Er 3.43-3.57, 1 Mg 3.47
Er12 0.3635 0.0128 0.1860  4 Ho 3.40-3.63, 4 Er 3.43-3.57, 1 Mg 3.47
Mg1 0.0000 0.0000 0.0000  6 Ho 3.37, 6 Er 3.47

Which of these has the lowest volume? HoErMg14